1.
Entry from Alexandria: a geometry-optimized MgCuSbSe3 structure (PBE).

Calculated values
**Space group**: P2_1/m, No. 11
**Total energy**: -3.858 eV/atom
**DOS at the Fermi energy**: 1.51 states/eV/cell
**Volume**: 23.70 Å³/atom

abc: 4.127 8.032 8.801
angles: 102.90 90.00 90.00
Positions (direct):
Mg  0.250  0.678  0.173
Mg  0.750  0.322  0.827
Cu  0.250  0.086  0.509
Cu  0.750  0.914  0.491
Sb  0.250  0.185  0.182
Sb  0.750  0.815  0.818
Se  0.750  0.905  0.134
Se  0.250  0.095  0.866
Se  0.250  0.758  0.475
Se  0.750  0.242  0.525
Se  0.750  0.415  0.139
Se  0.250  0.585  0.861

2.
Entry from Alexandria: a geometry-optimized Ho5Al4Hg structure (PBE).

Calculated values
**Space group**: P4/mmm, No. 123
**Energy relative to the elements**: -410 meV per atom
**DOS at the Fermi energy**: 4.59 states/eV/cell
**Volume**: 23.47 Å³/atom

abc: 3.564 3.564 18.477
angles: 90.00 90.00 90.00
Positions (direct):
Ho  0.500  0.500  0.109
Ho  0.500  0.500  0.306
Ho  0.500  0.500  0.500
Ho  0.500  0.500  0.694
Ho  0.500  0.500  0.891
Al  0.000  0.000  0.206
Al  0.000  0.000  0.403
Al  0.000  0.000  0.597
Al  0.000  0.000  0.794
Hg  0.000  0.000  0.000

3.
Entry from Alexandria: a geometry-optimized CaSm3Cu4 structure (PBE).

Calculated values
**Space group**: Pmma, No. 51
**Energy relative to the elements**: -159 meV per atom
**DOS at the Fermi energy**: 8.49 states/eV/cell
**Volume**: 22.27 Å³/atom

abc: 5.020 7.069 10.041
angles: 90.00 90.00 90.00
Positions (direct):
Ca  0.000  0.500  0.000
Ca  0.000  0.500  0.500
Cu  0.500  0.758  0.000
Cu  0.500  0.758  0.500
Cu  0.500  0.242  0.000
Cu  0.500  0.242  0.500
Cu  0.002  0.758  0.750
Cu  0.998  0.758  0.250
Cu  0.998  0.242  0.250
Cu  0.002  0.242  0.750
Sm  0.000  0.000  0.000
Sm  0.000  0.000  0.500
Sm  0.501  0.000  0.750
Sm  0.499  0.000  0.250
Sm  0.501  0.500  0.750
Sm  0.499  0.500  0.250

4.
Entry from Alexandria: a geometry-optimized NbMo8W3 structure (PBE).

Calculated values
**Space group**: P2/m, No. 10
**Energy relative to the elements**: -43 meV per atom
**DOS at the Fermi energy**: 6.82 states/eV/cell
**Volume**: 16.09 Å³/atom

abc: 4.495 5.264 9.017
angles: 90.00 90.00 115.19
Positions (direct):
Nb  0.000  0.000  0.000
Mo  0.332  0.663  0.000
Mo  0.167  0.335  0.252
Mo  0.500  0.000  0.250
Mo  0.668  0.337  0.000
Mo  0.500  0.000  0.750
Mo  0.833  0.665  0.748
Mo  0.167  0.335  0.748
Mo  0.833  0.665  0.252
W  0.000  0.000  0.500
W  0.667  0.333  0.500
W  0.333  0.667  0.500

Q: Look up the DOS at the Fermi energy of the fourth one.
A: 6.82 states/eV/cell

Q: What is the volume in the third record?
A: 22.27 Å³/atom

Q: Number 2 is which compound?
A: Ho5Al4Hg

Q: Look up the DOS at the Fermi energy of the third one.
A: 8.49 states/eV/cell